Record 1
A geometry-optimized HoAs2RhO8 structure, computed with PBE-GGA.

Geometry as extended XYZ:
```
12
Lattice="5.4519 0.0000 0.0000 -2.7259 4.7215 0.0000 0.0000 0.0000 6.5585" Properties=species:S:1:pos:R:3 pbc="T T T"
Ho 0.0000 0.0000 3.2792
As 2.7259 1.5738 1.8496
As 0.0000 3.1477 4.7089
Rh 0.0000 0.0000 0.0000
O 4.1781 0.7354 1.4239
O 2.7259 3.2506 1.4239
O 1.2738 0.7354 1.4239
O 1.4522 3.9861 5.1346
O 0.0000 3.1477 3.0282
O 2.7259 1.5738 3.5303
O -1.4521 3.9861 5.1346
O 0.0000 1.4708 5.1346
```

- symmetry = No. 164
- calculated total energy (eV/atom) = -6.541

---

Record 2
A geometry-optimized SmHoAsO2 structure, computed with PBE-GGA.

Geometry as extended XYZ:
```
5
Lattice="-3.6263 -0.2299 1.2013 0.4433 -3.7503 0.6203 3.5238 3.2222 5.1579" Properties=species:S:1:pos:R:3 pbc="T T T"
Sm -0.2684 -1.1465 5.0660
Ho 0.6254 0.3988 1.9643
As -1.5831 -1.9848 0.9370
O -0.8593 0.4933 3.5965
O 1.1755 -1.2669 3.3060
```

- symmetry = No. 107
- calculated total energy (eV/atom) = -7.424

---

Record 3
A geometry-optimized SmHoAs2O8 structure, computed with PBE-GGA.

Geometry as extended XYZ:
```
12
Lattice="-4.4329 2.2627 -1.0130 -2.0233 -4.5013 -1.2004 1.6146 0.3939 6.5467" Properties=species:S:1:pos:R:3 pbc="T T T"
Sm -3.0232 0.7686 2.2135
Ho 0.0000 0.0000 0.0000
As -3.2281 -1.1193 -1.1067
As -1.8184 -2.6134 2.1198
O -4.6530 -2.0217 -0.7202
O -2.3018 -0.4411 0.1880
O -2.9040 -1.5208 2.9077
O -1.2500 -3.9386 3.0758
O -0.4207 -1.6870 1.6937
O -2.6988 -3.3073 0.8020
O -0.5550 -1.8594 4.6732
O -2.1733 0.6327 4.5255
```

- symmetry = No. 82
- calculated total energy (eV/atom) = -7.199

---

Record 4
A geometry-optimized TbHoAs2O8 structure, computed with PBE-GGA.

Geometry as extended XYZ:
```
12
Lattice="5.0473 0.0000 0.0000 0.0000 5.0473 0.0000 -2.5237 -2.5237 5.6672" Properties=species:S:1:pos:R:3 pbc="T T T"
Tb 2.5237 0.0000 2.8336
Ho 0.0000 0.0000 0.0000
As 2.5237 2.5237 0.0000
As 0.0000 2.5237 2.8336
O 3.2824 3.7983 0.8916
O 1.7650 1.2490 0.8916
O 1.2748 1.7789 3.7364
O -1.2748 3.2685 3.7364
O -0.7448 1.2489 1.9309
O 0.7448 3.7985 1.9309
O -1.2747 0.7587 4.7756
O 1.2747 -0.7587 4.7756
```

- symmetry = No. 82
- calculated total energy (eV/atom) = -7.207

---

Record 5
A geometry-optimized TbHoAsO2 structure, computed with PBE-GGA.

Geometry as extended XYZ:
```
5
Lattice="3.7915 0.0000 0.0000 0.0000 3.7915 0.0000 -1.8957 -1.8957 6.4245" Properties=species:S:1:pos:R:3 pbc="T T T"
Tb 1.8957 1.8957 4.3732
Ho 0.0000 0.0000 2.0699
As 1.8957 1.8957 0.0097
O 1.8957 0.0000 3.1981
O 0.0000 1.8957 3.1981
```

- symmetry = No. 107
- calculated total energy (eV/atom) = -7.449

---

Record 6
A geometry-optimized HoTlAs2O8 structure, computed with PBE-GGA.

Geometry as extended XYZ:
```
12
Lattice="-4.5888 2.3921 -3.0143 2.9378 -4.4285 -2.7610 -2.3205 -2.3756 4.9837" Properties=species:S:1:pos:R:3 pbc="T T T"
Ho 0.0000 0.0000 0.0000
Tl -0.1041 -3.9112 -0.3325
As -3.8674 -0.5009 -0.4591
As -0.8255 -1.0182 -2.8876
O -2.3159 -0.1439 0.2028
O -0.4137 -1.8544 -1.4358
O -2.9535 -1.8122 2.7581
O -4.8352 -0.1379 0.9209
O -2.3553 -1.3880 -3.5947
O -4.2718 0.3796 -1.8853
O -4.0467 -2.1013 -1.0749
O -2.2206 -3.7694 0.6892
```

- symmetry = No. 119
- calculated total energy (eV/atom) = -6.321

---

Record 7
A geometry-optimized HoTmAsO2 structure, computed with PBE-GGA.

Geometry as extended XYZ:
```
5
Lattice="-0.8825 1.7269 -3.2156 0.1785 -3.2839 -1.8126 -5.8213 -0.2018 3.6820" Properties=species:S:1:pos:R:3 pbc="T T T"
Ho -4.5456 -1.4443 -1.7208
Tm -1.9971 -0.3171 0.3778
As -0.3617 -0.7800 -2.5123
O -3.5144 0.3755 -1.0264
O -2.9839 -2.1299 -0.3249
```

- symmetry = No. 107
- calculated total energy (eV/atom) = -7.442

---

Record 8
A geometry-optimized HoUAsO2 structure, computed with PBE-GGA.

Geometry as extended XYZ:
```
5
Lattice="3.7609 0.0000 0.0000 0.0000 3.7609 0.0000 -1.8804 -1.8804 6.0703" Properties=species:S:1:pos:R:3 pbc="T T T"
Ho 0.0000 0.0000 1.7895
U 1.8804 1.8804 4.3061
As 0.0000 0.0000 6.0298
O 1.8804 0.0000 3.0427
O 0.0000 1.8804 3.0427
```

- symmetry = No. 107
- calculated total energy (eV/atom) = -8.593

---

Record 9
A geometry-optimized YHoAs2O8 structure, computed with PBE-GGA.

Geometry as extended XYZ:
```
12
Lattice="5.0430 0.0000 0.0000 0.0000 5.0430 0.0000 -2.5215 -2.5215 5.6628" Properties=species:S:1:pos:R:3 pbc="T T T"
Y 2.5215 0.0000 2.8314
Ho 0.0000 0.0000 0.0000
As 2.5215 2.5215 0.0000
As 0.0000 2.5215 2.8314
O 3.2816 3.7952 0.8917
O 1.7614 1.2477 0.8917
O 1.2742 1.7732 3.7326
O -1.2742 3.2698 3.7326
O -0.7483 1.2473 1.9302
O 0.7483 3.7957 1.9302
O -1.2737 0.7601 4.7710
O 1.2737 -0.7601 4.7710
```

- symmetry = No. 82
- calculated total energy (eV/atom) = -7.351

---

Record 10
A geometry-optimized HoZn2AsO6 structure, computed with PBE-GGA.

Geometry as extended XYZ:
```
20
Lattice="-5.7232 0.7685 -3.4997 0.3349 -3.7942 -5.9480 -4.1501 -5.6300 0.9835" Properties=species:S:1:pos:R:3 pbc="T T T"
Ho -2.1260 -4.0238 -5.2308
Ho -7.4123 -4.6320 -3.2334
Zn -4.5699 -6.1440 -4.8847
Zn -1.8456 -2.7891 -2.2334
Zn -4.9684 -2.5118 -3.5795
Zn -7.6927 -5.8666 -6.2308
As -4.8880 -5.1543 -0.9622
As -4.6503 -3.5015 -7.5020
O -4.5686 -8.1556 -5.3790
O -1.8796 -0.7908 -1.6885
O -4.9697 -0.5001 -3.0852
O -7.6588 -7.8650 -6.7757
O -4.1200 -4.4964 -6.2145
O -6.2305 -2.9363 -7.1668
O -5.4183 -4.1593 -2.2497
O -3.3078 -5.7195 -1.2974
O -2.7327 -5.8788 -4.3118
O -3.0865 -2.8101 -3.7280
O -6.8057 -2.7769 -4.1524
O -6.4518 -5.8456 -4.7362
```

- symmetry = No. 15
- calculated total energy (eV/atom) = -5.999

---

Record 11
A geometry-optimized Ho2AsP structure, computed with PBE-GGA.

Geometry as extended XYZ:
```
4
Lattice="-3.2597 2.3207 -0.5793 0.4249 -2.0655 3.4497 5.2094 4.2719 1.9186" Properties=species:S:1:pos:R:3 pbc="T T T"
Ho 2.4062 3.8840 2.0310
Ho -0.0315 0.6433 2.7580
As -0.4426 3.4239 2.1047
P 1.9497 6.5925 1.3392
```

- symmetry = No. 166
- calculated total energy (eV/atom) = -6.372
- ΔH_f (0 K) (meV per atom) = -1569

---

Record 12
A geometry-optimized HoAsP structure, computed with PBE-GGA.

Geometry as extended XYZ:
```
6
Lattice="-0.8069 -0.3724 -3.7040 0.5062 -3.7658 0.2683 -9.4670 0.9338 3.9272" Properties=species:S:1:pos:R:3 pbc="T T T"
As -1.4831 -0.1751 0.3407
As -8.2846 -3.0293 0.1508
Ho -3.1223 -2.4199 -1.0351
Ho -6.6455 -0.7845 1.5266
P -6.0215 -2.7622 -0.3691
P -3.7463 -0.4422 0.8606
```

- symmetry = No. 139
- calculated total energy (eV/atom) = -5.645
- ΔH_f (0 K) (meV per atom) = -766

---

Record 13
A geometry-optimized Ho5As4P structure, computed with PBE-GGA.

Geometry as extended XYZ:
```
10
Lattice="-1.3550 2.6782 -4.9269 -6.9393 0.8582 -1.0027 -0.4101 7.0298 0.5564" Properties=species:S:1:pos:R:3 pbc="T T T"
Ho -4.2867 8.4005 -4.3945
Ho -6.2230 5.7429 -1.9289
Ho -2.4842 4.8287 -3.4542
Ho -4.4205 2.1710 -0.9886
Ho -0.6791 1.3423 -2.4693
As -3.6411 7.0337 -1.9373
As -6.8740 7.0562 -4.4137
As -1.8332 3.5154 -0.9694
As -5.0661 3.5378 -3.4458
P -0.0015 0.0031 -0.0056
```

- symmetry = No. 87
- calculated total energy (eV/atom) = -6.233
- ΔH_f (0 K) (meV per atom) = -1544

---

Record 14
A geometry-optimized Ho2AsP structure, computed with PBE-GGA.

Geometry as extended XYZ:
```
4
Lattice="-3.3208 0.5771 2.1694 -1.1411 -2.7468 2.6870 2.2123 2.4531 6.4369" Properties=species:S:1:pos:R:3 pbc="T T T"
Ho 1.3385 1.7030 5.2990
Ho -0.6098 0.0302 2.7616
As -1.1134 0.1516 5.6616
P -0.7775 0.9937 9.6548
```

- symmetry = No. 160
- calculated total energy (eV/atom) = -6.226
- ΔH_f (0 K) (meV per atom) = -1422

---

Record 15
A geometry-optimized HoPaAsP structure, computed with PBE-GGA.

Geometry as extended XYZ:
```
4
Lattice="-1.2462 -0.7151 3.7169 -1.7869 -1.7899 -3.0795 5.8355 -4.1442 -0.9770" Properties=species:S:1:pos:R:3 pbc="T T T"
Ho 0.1429 -2.7719 2.0542
Pa 3.8045 -4.9149 -1.4028
As 2.8091 -3.1655 0.7364
P -1.2317 -2.2882 -2.5859
```

- symmetry = No. 160
- calculated total energy (eV/atom) = -7.287
- ΔH_f (0 K) (meV per atom) = -1254

---

Record 16
A geometry-optimized Ho2AsPPt6 structure, computed with PBE-GGA.

Geometry as extended XYZ:
```
20
Lattice="5.5555 0.0000 0.0000 0.0000 8.3904 0.0000 0.0000 0.0000 8.2875" Properties=species:S:1:pos:R:3 pbc="T T T"
Ho 2.7777 6.2357 2.0720
Ho 0.0000 2.1546 6.2157
Ho 2.7777 6.2357 6.2155
Ho 0.0000 2.1546 2.0718
As 0.0000 5.9832 4.1438
As 2.7777 2.4072 0.0000
P 2.7777 2.1341 4.1438
P 0.0000 6.2562 0.0000
Pt 2.7777 1.0841 2.0514
Pt 2.7777 1.0841 6.2361
Pt 0.0000 7.3063 2.0924
Pt 0.0000 7.3063 6.1951
Pt 1.3805 0.0527 4.1438
Pt 4.1750 0.0527 4.1438
Pt 1.3991 3.9837 4.1438
Pt 4.1564 3.9837 4.1438
Pt 4.1769 4.4067 0.0000
Pt 1.3786 4.4067 0.0000
Pt 1.3973 8.3376 0.0000
Pt 4.1582 8.3376 0.0000
```

- symmetry = No. 59
- calculated total energy (eV/atom) = -6.417
- ΔH_f (0 K) (meV per atom) = -871

---

Record 17
A geometry-optimized HoPuAsP structure, computed with PBE-GGA.

Geometry as extended XYZ:
```
4
Lattice="4.0382 -0.0005 -0.0003 -2.0186 3.4975 0.0001 -2.0185 -1.1654 6.7815" Properties=species:S:1:pos:R:3 pbc="T T T"
Ho 2.4008 0.9099 2.3876
Pu -1.6370 0.9103 6.0016
As 0.3818 -0.2557 4.2191
P -1.6374 3.2418 0.7485
```

- symmetry = No. 160
- calculated total energy (eV/atom) = -8.429
- ΔH_f (0 K) (meV per atom) = -1186

---

Record 18
A geometry-optimized Ho3AsP2Rh9 structure, computed with PBE-GGA.

Geometry as extended XYZ:
```
15
Lattice="6.0995 0.0000 0.0000 -3.0497 5.2823 0.0000 0.0000 0.0000 8.6185" Properties=species:S:1:pos:R:3 pbc="T T T"
Ho 0.0000 3.5215 6.0876
Ho 0.0000 0.0000 0.0000
Ho 3.0497 1.7608 2.5310
As 0.0000 0.0000 4.3093
P 0.0000 3.5215 1.4592
P 3.0497 1.7608 7.1593
Rh 4.7246 0.7938 6.1633
Rh 3.0497 3.6947 6.1633
Rh 1.3749 0.7938 6.1633
Rh 1.6748 4.4885 2.4552
Rh 0.0000 1.5876 2.4552
Rh -1.6748 4.4885 2.4552
Rh 3.0497 0.0000 0.0000
Rh -1.5249 2.6412 0.0000
Rh 1.5249 2.6412 0.0000
```

- symmetry = No. 164
- calculated total energy (eV/atom) = -7.052
- ΔH_f (0 K) (meV per atom) = -694

---

Record 19
A geometry-optimized Ho2AsPRh6 structure, computed with PBE-GGA.

Geometry as extended XYZ:
```
20
Lattice="5.8388 0.0000 0.0000 0.0000 7.2505 0.0000 0.0000 0.0000 8.5897" Properties=species:S:1:pos:R:3 pbc="T T T"
Ho 2.9194 5.3517 2.3266
Ho 0.0000 1.8987 6.6214
Ho 2.9194 5.3517 6.2631
Ho 0.0000 1.8987 1.9683
As 0.0000 5.1683 4.2949
As 2.9194 2.0821 0.0000
P 2.9194 1.6556 4.2949
P 0.0000 5.5949 0.0000
Rh 2.9194 0.9921 2.1387
Rh 2.9194 0.9921 6.4510
Rh 0.0000 6.2584 2.1561
Rh 0.0000 6.2584 6.4336
Rh 1.3551 0.0630 4.2949
Rh 4.4837 0.0630 4.2949
Rh 1.3533 3.1905 4.2949
Rh 4.4855 3.1905 4.2949
Rh 4.2727 4.0600 0.0000
Rh 1.5661 4.0600 0.0000
Rh 1.5643 7.1875 0.0000
Rh 4.2745 7.1875 0.0000
```

- symmetry = No. 59
- calculated total energy (eV/atom) = -7.029
- ΔH_f (0 K) (meV per atom) = -697

---

Record 20
A geometry-optimized Ho8As4P3S structure, computed with PBE-GGA.

Geometry as extended XYZ:
```
16
Lattice="8.0644 0.0000 0.0000 0.0000 8.0669 -0.0031 -4.0322 -4.0287 5.7040" Properties=species:S:1:pos:R:3 pbc="T T T"
Ho -1.9952 2.0015 5.6726
Ho 0.0000 3.9953 2.8507
Ho 0.0000 0.0408 2.8782
Ho 1.9952 2.0015 5.6726
Ho 2.0370 2.0366 0.0282
Ho 4.0322 3.9974 2.8226
Ho 4.0322 0.0429 2.8501
Ho 6.0274 2.0366 0.0282
As 4.0322 0.0000 0.0000
As 2.0161 -2.0143 2.8520
As 0.0000 0.0000 0.0000
As -2.0161 -2.0143 2.8520
P 4.0322 4.0334 -0.0016
P 2.0161 2.0191 2.8504
P -2.0161 2.0191 2.8504
S 0.0000 4.0334 -0.0016
```

- symmetry = No. 166
- calculated total energy (eV/atom) = -6.368